(1)
First-principles (PBE-GGA) data for a relaxed structure of PmInHg4, as listed in Alexandria.

Output
- E: -10.3 eV for the cell shown
- Spin magnetization: 0.0 μB/f.u.
- Formation enthalpy at 0 K: -265 meV per atom
- ΔE to the lowest computed polymorph: 0 meV/atom

Unit cell a=6.9442 b=6.9442 c=4.8348 alpha=90.00 beta=90.00 gamma=139.90
With the nearest neighbours (Å) after each atom.
Atoms (fractional coordinates):
Pm  0.0000  0.0000  0.0000  8 Hg 3.25-3.28, 4 In 3.39
In  0.5000  0.5000  0.5000  8 Hg 3.22-3.30, 4 Pm 3.39
Hg  0.1660  0.8340  0.5000  8 Hg 3.21-3.39, 2 In 3.22, 2 Pm 3.25
Hg  0.3274  0.6726  0.0000  8 Hg 3.12-3.39, 2 Pm 3.28, 2 In 3.30
Hg  0.6726  0.3274  0.0000  8 Hg 3.12-3.39, 2 Pm 3.28, 2 In 3.30
Hg  0.8340  0.1660  0.5000  8 Hg 3.21-3.39, 2 In 3.22, 2 Pm 3.25

***

(2)
First-principles (PBE-GGA) data for a relaxed structure of FePIr2, as listed in Alexandria.

Output
- E: -31.8 eV for the cell shown
- Spin magnetization: 3.5 μB/f.u.
- Formation enthalpy at 0 K: -59 meV per atom

Unit cell a=2.8291 b=2.8291 c=6.7486 alpha=90.00 beta=90.00 gamma=90.00
With the nearest neighbours (Å) after each atom.
Atoms (fractional coordinates):
Fe  0.0000  0.0000  0.0000  8 Ir 2.74, 4 Fe 2.83
P  0.0000  0.0000  0.5000  8 Ir 2.50
Ir  0.5000  0.5000  0.2768  4 P 2.50, 4 Fe 2.74
Ir  0.5000  0.5000  0.7232  4 P 2.50, 4 Fe 2.74

***

(3)
First-principles (PBE-GGA) data for a relaxed structure of LiY5In3, as listed in Alexandria.

Output
- E: -91.8 eV for the cell shown
- Spin magnetization: 0.0 μB/f.u.
- Formation enthalpy at 0 K: -386 meV per atom

Unit cell a=9.2719 b=9.2719 c=6.6691 alpha=90.00 beta=90.00 gamma=120.00
With the nearest neighbours (Å) after each atom.
Atoms (fractional coordinates):
Li  0.0000  0.0000  0.0000  6 Y 3.26, 2 Li 3.33
Li  0.0000  0.0000  0.5000  6 Y 3.26, 2 Li 3.33
Y  0.0000  0.3023  0.2500  5 In 3.09-3.37, 2 Li 3.26
Y  0.0000  0.6977  0.7500  5 In 3.09-3.37, 2 Li 3.26
Y  0.3023  0.0000  0.2500  5 In 3.09-3.37, 2 Li 3.26
Y  0.3023  0.3023  0.7500  5 In 3.09-3.37, 2 Li 3.26
Y  0.3333  0.6667  0.0000  8 Y 3.33-3.65, 6 In 3.42
Y  0.3333  0.6667  0.5000  8 Y 3.33-3.65, 6 In 3.42
Y  0.6667  0.3333  0.0000  8 Y 3.33-3.65, 6 In 3.42
Y  0.6667  0.3333  0.5000  8 Y 3.33-3.65, 6 In 3.42
Y  0.6977  0.0000  0.7500  5 In 3.09-3.37, 2 Li 3.26
Y  0.6977  0.6977  0.2500  5 In 3.09-3.37, 2 Li 3.26
In  0.0000  0.3572  0.7500  9 Y 3.09-3.42
In  0.0000  0.6428  0.2500  9 Y 3.09-3.42
In  0.3572  0.0000  0.7500  9 Y 3.09-3.42
In  0.3572  0.3572  0.2500  9 Y 3.09-3.42
In  0.6428  0.0000  0.2500  9 Y 3.09-3.42
In  0.6428  0.6428  0.7500  9 Y 3.09-3.42

***

(4)
First-principles (PBE-GGA) data for a relaxed structure of MgBeCd, as listed in Alexandria.

Output
- E: -11.4 eV for the cell shown
- Spin magnetization: 0.0 μB/f.u.
- Formation enthalpy at 0 K: 173 meV per atom
- ΔE to the lowest computed polymorph: 20 meV/atom

Unit cell a=4.9918 b=4.9918 c=6.4433 alpha=125.92 beta=125.92 gamma=58.17
With the nearest neighbours (Å) after each atom.
Atoms (fractional coordinates):
Mg  0.1670  0.1670  0.0016  4 Be 2.77-2.78, 3 Mg 2.83-2.90
Mg  0.8330  0.8330  0.9984  4 Be 2.77-2.78, 3 Mg 2.83-2.90
Be  0.2501  0.7499  0.5000  2 Be 2.43, 4 Cd 2.65-2.66
Be  0.7499  0.2501  0.5000  2 Be 2.43, 4 Cd 2.65-2.66
Cd  0.3437  0.3437  0.6883  4 Be 2.65-2.66
Cd  0.6563  0.6563  0.3117  4 Be 2.65-2.66

***

(5)
First-principles (PBE-GGA) data for a relaxed structure of HfAgPO2, as listed in Alexandria.

Output
- E: -28.0 eV for the cell shown
- Spin magnetization: 0.0 μB/f.u.
- ΔE to the lowest computed polymorph: 1288 meV/atom
- Energy relative to the elements, uncorrected: 0.02 eV per atom

Unit cell a=4.0238 b=4.0238 c=4.7121 alpha=90.00 beta=90.00 gamma=90.00
With the nearest neighbours (Å) after each atom.
Atoms (fractional coordinates):
Hf  0.0000  0.0000  0.0000  4 P 2.85, 8 O 3.10
Ag  0.5000  0.5000  0.5000  4 O 2.01
P  0.5000  0.5000  0.0000  2 Ag 2.36
O  0.0000  0.5000  0.5000  2 Ag 2.01
O  0.5000  0.0000  0.5000  2 Ag 2.01

***

(6)
First-principles (PBE-GGA) data for a relaxed structure of Rb3Ag4Br9, as listed in Alexandria.

Output
- E: -42.5 eV for the cell shown
- Spin magnetization: 0.0 μB/f.u.
- Energy relative to the elements, uncorrected: -0.82 eV per atom

Unit cell a=11.3338 b=11.3338 c=11.3338 alpha=39.11 beta=39.11 gamma=39.11
With the nearest neighbours (Å) after each atom.
Atoms (fractional coordinates):
Rb  0.0000  0.0000  0.0000  6 Br 3.50-3.71
Rb  0.1591  0.1591  0.1591  6 Br 3.50-3.72
Rb  0.5794  0.5794  0.5794  12 Br 3.67-4.02
Ag  0.2996  0.2996  0.2996  6 Br 2.76-2.78
Ag  0.4135  0.4135  0.4135  6 Br 2.85-2.90
Ag  0.7455  0.7455  0.7455  6 Br 2.85-2.90
Ag  0.8596  0.8596  0.8596  6 Br 2.76-2.78
Br  0.0186  0.5393  0.5033  3 Ag 2.78-2.90
Br  0.0628  0.0964  0.5795  2 Ag 2.76
Br  0.0964  0.5795  0.0628  2 Ag 2.76
Br  0.1407  0.6544  0.6213  3 Ag 2.78-2.90
Br  0.5033  0.0186  0.5393  3 Ag 2.78-2.90
Br  0.5393  0.5033  0.0186  3 Ag 2.78-2.90
Br  0.5795  0.0628  0.0964  2 Ag 2.76
Br  0.6213  0.1407  0.6544  3 Ag 2.78-2.90
Br  0.6544  0.6213  0.1407  3 Ag 2.78-2.90